# 1
Here is an optimized crystal structure of Sm4Zn2Ga from the Alexandria database. Energies are from PBE.

Summary:
Offset from the most stable computed form, meV/atom: 47
Calculated formation energy, eV per formula unit: -1.68

Cell lengths 7.8564, 7.8564, 7.8564 Å; angles 108.98, 108.98, 110.46 degrees
Positions (direct):
1 Sm 0.1206 0.7283 0.7478
2 Sm 0.1228 0.2305 0.7522
3 Sm 0.2717 0.0195 0.3923
4 Sm 0.4783 0.3706 0.2478
5 Sm 0.6272 0.8794 0.6077
6 Sm 0.6294 0.8772 0.1077
7 Sm 0.7695 0.5217 0.8923
8 Sm 0.9805 0.3728 0.2522
9 Zn 0.2520 0.6250 0.1270
10 Zn 0.3750 0.5020 0.6270
11 Zn 0.4980 0.1250 0.8730
12 Zn 0.8750 0.7480 0.3730
13 Ga 0.0000 0.0000 0.0000
14 Ga 0.7500 0.2500 0.5000

=====

# 2
Here is an optimized crystal structure of MgPIrS2 from the Alexandria database. Energies are from PBE.

Summary:
Offset from the most stable computed form, meV/atom: 0
Uncorrected formation energy, kJ/mol of atoms: 22.87

Cell lengths 4.9578, 4.9578, 4.3253 Å; angles 90.00, 90.00, 90.00 degrees
Positions (direct):
1 Mg 0.0000 0.0000 0.0000
2 P 0.5000 0.5000 0.0000
3 Ir 0.5000 0.5000 0.5000
4 S 0.0000 0.5000 0.5000
5 S 0.5000 0.0000 0.5000

=====

# 3
Here is an optimized crystal structure of KScCrRh2 from the Alexandria database. Energies are from PBE.

Summary:
Calculated formation energy, eV per formula unit: 4.50

Cell lengths 4.5771, 4.5771, 4.8362 Å; angles 90.00, 90.00, 90.00 degrees
Positions (direct):
1 K 0.0000 0.0000 0.0000
2 Sc 0.5000 0.5000 0.0000
3 Cr 0.0000 0.0000 0.5000
4 Rh 0.0000 0.5000 0.5000
5 Rh 0.5000 0.0000 0.5000

=====

# 4
Here is an optimized crystal structure of PrMgCd14 from the Alexandria database. Energies are from PBE.

Summary:
Calculated formation energy, eV per formula unit: -1.14

Cell lengths 6.6095, 6.6095, 8.5710 Å; angles 90.00, 90.00, 90.00 degrees
Positions (direct):
1 Pr 0.0000 0.0000 0.0000
2 Mg 0.5000 0.5000 0.0000
3 Cd 0.0000 0.0000 0.5000
4 Cd 0.0000 0.5000 0.0000
5 Cd 0.0000 0.5000 0.5000
6 Cd 0.2570 0.2570 0.2572
7 Cd 0.2570 0.2570 0.7428
8 Cd 0.2570 0.7430 0.2572
9 Cd 0.2570 0.7430 0.7428
10 Cd 0.5000 0.0000 0.0000
11 Cd 0.5000 0.0000 0.5000
12 Cd 0.5000 0.5000 0.5000
13 Cd 0.7430 0.2570 0.2572
14 Cd 0.7430 0.2570 0.7428
15 Cd 0.7430 0.7430 0.2572
16 Cd 0.7430 0.7430 0.7428

=====

# 5
Here is an optimized crystal structure of BIrSCl2 from the Alexandria database. Energies are from PBE.

Summary:
Offset from the most stable computed form, meV/atom: 0
Uncorrected formation energy, kJ/mol of atoms: 95.84

Cell lengths 4.9909, 4.9909, 4.4305 Å; angles 90.00, 90.00, 90.00 degrees
Positions (direct):
1 B 0.0000 0.0000 0.0000
2 Ir 0.5000 0.5000 0.5000
3 S 0.5000 0.5000 0.0000
4 Cl 0.0000 0.5000 0.5000
5 Cl 0.5000 0.0000 0.5000

=====

# 6
Here is an optimized crystal structure of Sc2AlCu from the Alexandria database. Energies are from PBE.

Summary:
Calculated formation energy, eV per formula unit: 0.30

Cell lengths 7.3922, 7.3922, 5.9284 Å; angles 90.00, 90.00, 90.00 degrees
Positions (direct):
1 Sc 0.2162 0.2500 0.1250
2 Sc 0.2500 0.7162 0.3750
3 Sc 0.2500 0.7838 0.8750
4 Sc 0.2838 0.2500 0.6250
5 Sc 0.7162 0.7500 0.6250
6 Sc 0.7500 0.2162 0.8750
7 Sc 0.7500 0.2838 0.3750
8 Sc 0.7838 0.7500 0.1250
9 Al 0.0000 0.0000 0.5000
10 Al 0.0000 0.5000 0.7500
11 Al 0.5000 0.0000 0.2500
12 Al 0.5000 0.5000 0.0000
13 Cu 0.0000 0.0000 0.0000
14 Cu 0.0000 0.5000 0.2500
15 Cu 0.5000 0.0000 0.7500
16 Cu 0.5000 0.5000 0.5000

=====

# 7
Here is an optimized crystal structure of Na2DyMnTe4 from the Alexandria database. Energies are from PBE.

Summary:
Uncorrected formation energy, kJ/mol of atoms: -81.02

Cell lengths 7.3535, 4.2823, 7.9722 Å; angles 90.00, 107.94, 90.00 degrees
Positions (direct):
1 Na 0.0000 0.0000 0.0000
2 Na 0.5000 0.5000 0.0000
3 Dy 0.0000 0.5000 0.5000
4 Mn 0.5000 0.0000 0.5000
5 Te 0.2618 0.0000 0.7240
6 Te 0.2797 0.5000 0.2857
7 Te 0.7203 0.5000 0.7143
8 Te 0.7382 0.0000 0.2760

=====

# 8
Here is an optimized crystal structure of MgZn2Sb from the Alexandria database. Energies are from PBE.

Summary:
Uncorrected formation energy, kJ/mol of atoms: 0.69

Cell lengths 3.9495, 4.0402, 5.4125 Å; angles 90.00, 107.72, 90.00 degrees
Positions (direct):
1 Mg 0.0000 0.0000 0.0000
2 Zn 0.3092 0.0000 0.5520
3 Zn 0.4373 0.5000 0.8661
4 Sb 0.7434 0.5000 0.4055

=====

# 9
Here is an optimized crystal structure of ZrNiMo from the Alexandria database. Energies are from PBE.

Summary:
Offset from the most stable computed form, meV/atom: 564
Calculated formation energy, eV per formula unit: 1.03

Cell lengths 6.0122, 6.0122, 6.0122 Å; angles 90.00, 90.00, 90.00 degrees
Positions (direct):
1 Zr 0.0000 0.0000 0.0000
2 Zr 0.0000 0.5000 0.5000
3 Zr 0.5000 0.0000 0.5000
4 Zr 0.5000 0.5000 0.0000
5 Ni 0.2500 0.2500 0.2500
6 Ni 0.2500 0.7500 0.7500
7 Ni 0.7500 0.2500 0.7500
8 Ni 0.7500 0.7500 0.2500
9 Mo 0.0000 0.0000 0.5000
10 Mo 0.0000 0.5000 0.0000
11 Mo 0.5000 0.0000 0.0000
12 Mo 0.5000 0.5000 0.5000

=====

# 10
Here is an optimized crystal structure of ReAsSe2 from the Alexandria database. Energies are from PBE.

Summary:
Uncorrected formation energy, kJ/mol of atoms: 30.77

Cell lengths 2.9750, 2.9750, 9.2217 Å; angles 90.00, 90.00, 90.00 degrees
Positions (direct):
1 Re 0.0000 0.0000 0.0000
2 As 0.0000 0.0000 0.5000
3 Se 0.5000 0.5000 0.1736
4 Se 0.5000 0.5000 0.8264

=====

# 11
Here is an optimized crystal structure of CdPbBr3 from the Alexandria database. Energies are from PBE.

Summary:
Uncorrected formation energy, kJ/mol of atoms: -40.42

Cell lengths 5.8562, 5.8562, 5.8562 Å; angles 90.00, 90.00, 90.00 degrees
Positions (direct):
1 Cd 0.0000 0.0000 0.0000
2 Pb 0.5000 0.5000 0.5000
3 Br 0.0000 0.5000 0.5000
4 Br 0.5000 0.0000 0.5000
5 Br 0.5000 0.5000 0.0000

=====

# 12
Here is an optimized crystal structure of In2P from the Alexandria database. Energies are from PBE.

Summary:
Offset from the most stable computed form, meV/atom: 0
Calculated formation energy, eV per formula unit: -0.10

Cell lengths 3.9818, 3.9833, 5.2990 Å; angles 90.05, 90.01, 119.43 degrees
Positions (direct):
1 In 0.1671 0.3356 0.2153
2 In 0.8329 0.6644 0.7847
3 P 0.5000 0.0000 0.5000